No. 1
Gd2InRh: optimized geometry, PBE-GGA.

Energy above the most stable polymorph in this dataset = 0 meV per atom
Uncorrected energy = -40.81 eV per cell
SG = P4/mmm, No. 123
Formation energy from the elements = -0.639 eV per atom

Cell lengths 3.5671, 3.5671, 7.5807 Å; angles 90.00, 90.00, 90.00 degrees
Last column: nearest neighbours and their distance in Å.
Atoms (fractional coordinates):
Gd1 0.0000 0.0000 0.2175  4 Rh 3.01, 1 Gd 3.30, 4 In 3.31
Gd2 0.0000 0.0000 0.7825  4 Rh 3.01, 1 Gd 3.30, 4 In 3.31
In1 0.5000 0.5000 0.5000  8 Gd 3.31, 4 In 3.57
Rh1 0.5000 0.5000 0.0000  8 Gd 3.01



No. 2
Gd2InRh: optimized geometry, PBE-GGA.

Energy above the most stable polymorph in this dataset = 115 meV per atom
Uncorrected energy = -161.39 eV per cell
SG = Fm-3m, No. 225
Formation energy from the elements = -0.524 eV per atom

Cell lengths 7.2790, 7.2790, 7.2790 Å; angles 90.00, 90.00, 90.00 degrees
Last column: nearest neighbours and their distance in Å.
Atoms (fractional coordinates):
Gd1 0.2500 0.2500 0.2500  4 In 3.15, 4 Rh 3.15
Gd2 0.2500 0.2500 0.7500  4 In 3.15, 4 Rh 3.15
Gd3 0.2500 0.7500 0.2500  4 In 3.15, 4 Rh 3.15
Gd4 0.2500 0.7500 0.7500  4 Rh 3.15, 4 In 3.15
Gd5 0.7500 0.2500 0.2500  4 In 3.15, 4 Rh 3.15
Gd6 0.7500 0.2500 0.7500  4 Rh 3.15, 4 In 3.15
Gd7 0.7500 0.7500 0.2500  4 Rh 3.15, 4 In 3.15
Gd8 0.7500 0.7500 0.7500  4 In 3.15, 4 Rh 3.15
In1 0.0000 0.0000 0.0000  8 Gd 3.15
In2 0.0000 0.5000 0.5000  8 Gd 3.15
In3 0.5000 0.0000 0.5000  8 Gd 3.15
In4 0.5000 0.5000 0.0000  8 Gd 3.15
Rh1 0.0000 0.0000 0.5000  8 Gd 3.15
Rh2 0.0000 0.5000 0.0000  8 Gd 3.15
Rh3 0.5000 0.0000 0.0000  8 Gd 3.15
Rh4 0.5000 0.5000 0.5000  8 Gd 3.15



No. 3
Gd2InRh: optimized geometry, PBE-GGA.

Energy above the most stable polymorph in this dataset = 121 meV per atom
Uncorrected energy = -120.98 eV per cell
SG = R-3m, No. 166
Formation energy from the elements = -0.518 eV per atom

Cell lengths 3.8856, 3.8856, 24.8543 Å; angles 90.00, 90.00, 120.00 degrees
Last column: nearest neighbours and their distance in Å.
Atoms (fractional coordinates):
Gd1 0.0000 0.0000 0.2340  3 Rh 2.80
Gd2 0.0000 0.0000 0.7660  3 Rh 2.80
Gd3 0.3333 0.6667 0.4326  3 Rh 2.80
Gd4 0.3333 0.6667 0.9007  3 Rh 2.80
Gd5 0.6667 0.3333 0.0993  3 Rh 2.80
Gd6 0.6667 0.3333 0.5674  3 Rh 2.80
In1 0.0000 0.0000 0.0000  6 Gd 3.34
In2 0.3333 0.6667 0.6667  6 Gd 3.34
In3 0.6667 0.3333 0.3333  6 Gd 3.34
Rh1 0.0000 0.0000 0.5000  6 Gd 2.80
Rh2 0.3333 0.6667 0.1667  6 Gd 2.80
Rh3 0.6667 0.3333 0.8333  6 Gd 2.80



No. 4
GdIn2Rh: optimized geometry, PBE-GGA.

Energy above the most stable polymorph in this dataset = 186 meV per atom
Uncorrected energy = -28.65 eV per cell
SG = P4/mmm, No. 123
Formation energy from the elements = -0.436 eV per atom

Cell lengths 3.3832, 3.3832, 7.5681 Å; angles 90.00, 90.00, 90.00 degrees
Last column: nearest neighbours and their distance in Å.
Atoms (fractional coordinates):
Gd1 0.0000 0.0000 0.0000  8 In 3.29, 4 Gd 3.38
In1 0.5000 0.5000 0.2983  4 Rh 2.84, 1 In 3.05
In2 0.5000 0.5000 0.7017  4 Rh 2.84, 1 In 3.05
Rh1 0.0000 0.0000 0.5000  8 In 2.84



No. 5
SmGdInRh: optimized geometry, PBE-GGA.

Uncorrected energy = -123.59 eV per cell
SG = F-43m, No. 216
Formation energy from the elements = -0.502 eV per atom

Cell lengths 7.3190, 7.3190, 7.3190 Å; angles 90.00, 90.00, 90.00 degrees
Last column: nearest neighbours and their distance in Å.
Atoms (fractional coordinates):
Sm1 0.0000 0.0000 0.0000  4 In 3.17, 4 Rh 3.17
Sm2 0.0000 0.5000 0.5000  4 In 3.17, 4 Rh 3.17
Sm3 0.5000 0.0000 0.5000  4 In 3.17, 4 Rh 3.17
Sm4 0.5000 0.5000 0.0000  4 In 3.17, 4 Rh 3.17
Gd1 0.0000 0.0000 0.5000  4 Rh 3.17, 4 In 3.17
Gd2 0.0000 0.5000 0.0000  4 Rh 3.17, 4 In 3.17
Gd3 0.5000 0.0000 0.0000  4 Rh 3.17, 4 In 3.17
Gd4 0.5000 0.5000 0.5000  4 Rh 3.17, 4 In 3.17
In1 0.2500 0.2500 0.7500  4 Gd 3.17, 4 Sm 3.17
In2 0.2500 0.7500 0.2500  4 Gd 3.17, 4 Sm 3.17
In3 0.7500 0.2500 0.2500  4 Gd 3.17, 4 Sm 3.17
In4 0.7500 0.7500 0.7500  4 Gd 3.17, 4 Sm 3.17
Rh1 0.2500 0.2500 0.2500  4 Sm 3.17, 4 Gd 3.17
Rh2 0.2500 0.7500 0.7500  4 Sm 3.17, 4 Gd 3.17
Rh3 0.7500 0.2500 0.7500  4 Sm 3.17, 4 Gd 3.17
Rh4 0.7500 0.7500 0.2500  4 Sm 3.17, 4 Gd 3.17



No. 6
TbGdInRh: optimized geometry, PBE-GGA.

Uncorrected energy = -123.76 eV per cell
SG = F-43m, No. 216
Formation energy from the elements = -0.534 eV per atom

Cell lengths 7.2596, 7.2596, 7.2596 Å; angles 90.00, 90.00, 90.00 degrees
Last column: nearest neighbours and their distance in Å.
Atoms (fractional coordinates):
Tb1 0.0000 0.0000 0.0000  4 In 3.14, 4 Rh 3.14
Tb2 0.0000 0.5000 0.5000  4 In 3.14, 4 Rh 3.14
Tb3 0.5000 0.0000 0.5000  4 In 3.14, 4 Rh 3.14
Tb4 0.5000 0.5000 0.0000  4 In 3.14, 4 Rh 3.14
Gd1 0.0000 0.0000 0.5000  4 Rh 3.14, 4 In 3.14
Gd2 0.0000 0.5000 0.0000  4 Rh 3.14, 4 In 3.14
Gd3 0.5000 0.0000 0.0000  4 Rh 3.14, 4 In 3.14
Gd4 0.5000 0.5000 0.5000  4 Rh 3.14, 4 In 3.14
In1 0.2500 0.2500 0.2500  4 Gd 3.14, 4 Tb 3.14
In2 0.2500 0.7500 0.7500  4 Gd 3.14, 4 Tb 3.14
In3 0.7500 0.2500 0.7500  4 Gd 3.14, 4 Tb 3.14
In4 0.7500 0.7500 0.2500  4 Gd 3.14, 4 Tb 3.14
Rh1 0.2500 0.2500 0.7500  4 Gd 3.14, 4 Tb 3.14
Rh2 0.2500 0.7500 0.2500  4 Gd 3.14, 4 Tb 3.14
Rh3 0.7500 0.2500 0.2500  4 Gd 3.14, 4 Tb 3.14
Rh4 0.7500 0.7500 0.7500  4 Gd 3.14, 4 Tb 3.14



No. 7
GdTlInRh: optimized geometry, PBE-GGA.

Uncorrected energy = -110.85 eV per cell
SG = F-43m, No. 216
Formation energy from the elements = -0.294 eV per atom

Cell lengths 7.0929, 7.0929, 7.0929 Å; angles 90.00, 90.00, 90.00 degrees
Last column: nearest neighbours and their distance in Å.
Atoms (fractional coordinates):
Gd1 0.0000 0.0000 0.0000  4 Tl 3.07, 4 Rh 3.07
Gd2 0.0000 0.5000 0.5000  4 Rh 3.07, 4 Tl 3.07
Gd3 0.5000 0.0000 0.5000  4 Rh 3.07, 4 Tl 3.07
Gd4 0.5000 0.5000 0.0000  4 Rh 3.07, 4 Tl 3.07
Tl1 0.2500 0.2500 0.2500  4 Gd 3.07, 4 In 3.07
Tl2 0.2500 0.7500 0.7500  4 Gd 3.07, 4 In 3.07
Tl3 0.7500 0.2500 0.7500  4 Gd 3.07, 4 In 3.07
Tl4 0.7500 0.7500 0.2500  4 Gd 3.07, 4 In 3.07
In1 0.0000 0.0000 0.5000  4 Tl 3.07, 4 Rh 3.07
In2 0.0000 0.5000 0.0000  4 Tl 3.07, 4 Rh 3.07
In3 0.5000 0.0000 0.0000  4 Tl 3.07, 4 Rh 3.07
In4 0.5000 0.5000 0.5000  4 Tl 3.07, 4 Rh 3.07
Rh1 0.2500 0.2500 0.7500  4 Gd 3.07, 4 In 3.07
Rh2 0.2500 0.7500 0.2500  4 Gd 3.07, 4 In 3.07
Rh3 0.7500 0.2500 0.2500  4 Gd 3.07, 4 In 3.07
Rh4 0.7500 0.7500 0.7500  4 Gd 3.07, 4 In 3.07



No. 8
GdTmInRh: optimized geometry, PBE-GGA.

Uncorrected energy = -123.48 eV per cell
SG = F-43m, No. 216
Formation energy from the elements = -0.557 eV per atom

Cell lengths 7.1965, 7.1965, 7.1965 Å; angles 90.00, 90.00, 90.00 degrees
Last column: nearest neighbours and their distance in Å.
Atoms (fractional coordinates):
Gd1 0.0000 0.0000 0.0000  4 Rh 3.12, 4 In 3.12
Gd2 0.0000 0.5000 0.5000  4 Rh 3.12, 4 In 3.12
Gd3 0.5000 0.0000 0.5000  4 Rh 3.12, 4 In 3.12
Gd4 0.5000 0.5000 0.0000  4 Rh 3.12, 4 In 3.12
Tm1 0.0000 0.0000 0.5000  4 In 3.12, 4 Rh 3.12
Tm2 0.0000 0.5000 0.0000  4 In 3.12, 4 Rh 3.12
Tm3 0.5000 0.0000 0.0000  4 In 3.12, 4 Rh 3.12
Tm4 0.5000 0.5000 0.5000  4 In 3.12, 4 Rh 3.12
In1 0.2500 0.2500 0.7500  4 Gd 3.12, 4 Tm 3.12
In2 0.2500 0.7500 0.2500  4 Gd 3.12, 4 Tm 3.12
In3 0.7500 0.2500 0.2500  4 Gd 3.12, 4 Tm 3.12
In4 0.7500 0.7500 0.7500  4 Gd 3.12, 4 Tm 3.12
Rh1 0.2500 0.2500 0.2500  4 Tm 3.12, 4 Gd 3.12
Rh2 0.2500 0.7500 0.7500  4 Tm 3.12, 4 Gd 3.12
Rh3 0.7500 0.2500 0.7500  4 Tm 3.12, 4 Gd 3.12
Rh4 0.7500 0.7500 0.2500  4 Tm 3.12, 4 Gd 3.12



No. 9
GdYInRh: optimized geometry, PBE-GGA.

Uncorrected energy = -131.28 eV per cell
SG = F-43m, No. 216
Formation energy from the elements = -0.546 eV per atom

Cell lengths 7.2525, 7.2525, 7.2525 Å; angles 90.00, 90.00, 90.00 degrees
Last column: nearest neighbours and their distance in Å.
Atoms (fractional coordinates):
Gd1 0.0000 0.0000 0.0000  4 In 3.14, 4 Rh 3.14
Gd2 0.0000 0.5000 0.5000  4 In 3.14, 4 Rh 3.14
Gd3 0.5000 0.0000 0.5000  4 In 3.14, 4 Rh 3.14
Gd4 0.5000 0.5000 0.0000  4 In 3.14, 4 Rh 3.14
Y1 0.0000 0.0000 0.5000  4 In 3.14, 4 Rh 3.14
Y2 0.0000 0.5000 0.0000  4 In 3.14, 4 Rh 3.14
Y3 0.5000 0.0000 0.0000  4 In 3.14, 4 Rh 3.14
Y4 0.5000 0.5000 0.5000  4 In 3.14, 4 Rh 3.14
In1 0.2500 0.2500 0.7500  4 Gd 3.14, 4 Y 3.14
In2 0.2500 0.7500 0.2500  4 Gd 3.14, 4 Y 3.14
In3 0.7500 0.2500 0.2500  4 Gd 3.14, 4 Y 3.14
In4 0.7500 0.7500 0.7500  4 Gd 3.14, 4 Y 3.14
Rh1 0.2500 0.2500 0.2500  4 Gd 3.14, 4 Y 3.14
Rh2 0.2500 0.7500 0.7500  4 Gd 3.14, 4 Y 3.14
Rh3 0.7500 0.2500 0.7500  4 Gd 3.14, 4 Y 3.14
Rh4 0.7500 0.7500 0.2500  4 Gd 3.14, 4 Y 3.14



No. 10
GdZnInRh: optimized geometry, PBE-GGA.

Uncorrected energy = -109.06 eV per cell
SG = F-43m, No. 216
Formation energy from the elements = -0.455 eV per atom

Cell lengths 6.8004, 6.8004, 6.8004 Å; angles 90.00, 90.00, 90.00 degrees
Last column: nearest neighbours and their distance in Å.
Atoms (fractional coordinates):
Gd1 0.0000 0.0000 0.0000  4 Rh 2.94, 4 Zn 2.94
Gd2 0.0000 0.5000 0.5000  4 Rh 2.94, 4 Zn 2.94
Gd3 0.5000 0.0000 0.5000  4 Rh 2.94, 4 Zn 2.94
Gd4 0.5000 0.5000 0.0000  4 Rh 2.94, 4 Zn 2.94
Zn1 0.2500 0.2500 0.2500  4 Gd 2.94, 4 In 2.94
Zn2 0.2500 0.7500 0.7500  4 Gd 2.94, 4 In 2.94
Zn3 0.7500 0.2500 0.7500  4 Gd 2.94, 4 In 2.94
Zn4 0.7500 0.7500 0.2500  4 Gd 2.94, 4 In 2.94
In1 0.0000 0.0000 0.5000  4 Rh 2.94, 4 Zn 2.94
In2 0.0000 0.5000 0.0000  4 Rh 2.94, 4 Zn 2.94
In3 0.5000 0.0000 0.0000  4 Rh 2.94, 4 Zn 2.94
In4 0.5000 0.5000 0.5000  4 Rh 2.94, 4 Zn 2.94
Rh1 0.2500 0.2500 0.7500  4 Gd 2.94, 4 In 2.94
Rh2 0.2500 0.7500 0.2500  4 Gd 2.94, 4 In 2.94
Rh3 0.7500 0.2500 0.2500  4 Gd 2.94, 4 In 2.94
Rh4 0.7500 0.7500 0.7500  4 Gd 2.94, 4 In 2.94



- Among the records above, which one has the highest uncorrected energy?
  GdIn2Rh